(1)
PBE Rb3Np3USe8, relaxed; space group = R-3m (166); N(E_F) = 33.9 states/eV/f.u.
1.0
4.2315 2.4431 8.1319
-4.2315 2.4431 8.1319
0.0000 -4.8862 8.1319
Rb Np U Se
3 3 1 8
Cartesian
-2.1158 -1.2215 8.1319
-2.1158 1.2215 16.2638
0.0000 2.4431 8.1319
-4.2315 0.0000 12.1979
-2.1158 1.2215 4.0659
2.1158 1.2215 4.0660
0.0000 0.0000 12.1979
0.0000 0.0000 5.6521
-2.0919 -1.2078 13.7513
0.0000 -2.4155 10.6445
-2.0919 1.2078 10.6445
2.0919 -1.2078 13.7513
0.0000 2.4155 13.7513
2.0919 1.2078 10.6445
0.0000 0.0000 18.7437

***

(2)
PBE MgCr2W, relaxed; distance to the lowest polymorph of the same formula = 25.2 kJ/mol of atoms; space group = Cmmm (65); N(E_F) = 4.2 states/eV/f.u.; formation energy from the elements = 0.588 eV per atom
1.0
5.4127 0.0000 0.0000
0.0000 8.3533 0.0000
0.0000 0.0000 2.5615
Mg Cr W
2 4 2
Cartesian
0.0000 0.0000 0.0000
2.7064 4.1767 0.0000
1.3532 2.0883 1.2808
1.3532 6.2650 1.2808
4.0595 2.0883 1.2808
4.0595 6.2650 1.2808
0.0000 4.1767 0.0000
2.7064 0.0000 0.0000

***

(3)
PBE SrScCu, relaxed; distance to the lowest polymorph of the same formula = 33.4 kJ/mol of atoms; space group = F-43m (216); N(E_F) = 5.7 states/eV/f.u.; formation energy from the elements = 0.312 eV per atom
1.0
7.0035 0.0000 0.0000
0.0000 7.0035 0.0000
0.0000 0.0000 7.0035
Sr Sc Cu
4 4 4
Cartesian
0.0000 0.0000 0.0000
0.0000 3.5017 3.5017
3.5017 0.0000 3.5017
3.5017 3.5017 0.0000
0.0000 0.0000 3.5017
0.0000 3.5017 0.0000
3.5017 0.0000 0.0000
3.5017 3.5017 3.5017
1.7509 1.7509 1.7509
1.7509 5.2526 5.2526
5.2526 1.7509 5.2526
5.2526 5.2526 1.7509

***

Number 1: electronic total energy -6.639 eV/atom, spin magnetization 14.00 μB/f.u.. Number 2: electronic total energy -7.860 eV/atom, spin magnetization 0.00 μB/f.u.. Number 3: electronic total energy -3.725 eV/atom, spin magnetization 0.04 μB/f.u..